PBE-GGA Be2PPd8, optimized geometry; energy above the lowest structure with this stoichiometry = 0.00 eV/f.u.; theoretical density = 9.77 g/cm3; space-group type = No. 12; formation energy = -393.9 meV/atom
1.0
-0.276 -3.717 1.431
2.501 1.574 4.569
-6.935 2.901 0.629
Be P Pd
2 1 8
direct
0.813 0.276 0.626 Be
0.187 0.724 0.374 Be
0.500 0.000 0.000 P
0.405 0.556 0.810 Pd
0.663 0.970 0.327 Pd
0.790 0.676 0.579 Pd
0.968 0.226 0.936 Pd
0.210 0.324 0.421 Pd
0.337 0.030 0.673 Pd
0.595 0.444 0.190 Pd
0.032 0.774 0.064 Pd